# Cd2OsPtN | Alexandria | PBE | optimized geometry
data_Cd2OsPtN
_cell_length_a 5.132
_cell_length_b 5.132
_cell_length_c 4.748
_cell_angle_alpha 90.00
_cell_angle_beta 90.00
_cell_angle_gamma 90.00
_symmetry_space_group_name_H-M 'P 4/m m m'
_symmetry_Int_Tables_number 123
_symmetry_space_group_name_Hall '-P 4 2'
loop_
_atom_site_label
_atom_site_type_symbol
_atom_site_fract_x
_atom_site_fract_y
_atom_site_fract_z
Cd1 Cd 0.000 0.500 0.000
Os1 Os 0.000 0.000 0.500
Pt1 Pt 0.000 0.000 0.000
N1 N 0.500 0.500 0.500
# energy relative to the elements, uncorrected: 2.070 eV per atom
# magnetic moment: 0.264 μB per atom
# DFT total energy: -3.415 eV/atom